A relaxed KNbCd2As crystal. Source: the Alexandria database, functional PBE.

```
KNbCd2As
1.0
5.294 0.000 0.000
0.000 5.304 0.000
0.000 0.000 5.294
K Nb As Cd
1 1 1 2
Direct
0.000 0.000 0.000
0.500 0.500 0.500
0.000 0.500 0.000
0.000 0.000 0.500
0.500 0.000 0.000
```

Properties
Volume (Å³/atom): 29.7
Total magnetization (μB per cell): 0.1
Formation energy (eV/f.u.): 8.64
Space-group type: P4/mmm